(1)
# K2RbSb2 PBE optimized geometry
data_K2RbSb2
_symmetry_space_group_name_H-M 'P 1'
_symmetry_Int_Tables_number 1
_symmetry_space_group_name_Hall 'P 1'
_cell_length_a 5.5839
_cell_length_b 5.5839
_cell_length_c 8.2459
_cell_angle_alpha 70.21
_cell_angle_beta 70.21
_cell_angle_gamma 90.00
loop_
_atom_site_label
_atom_site_type_symbol
_atom_site_fract_x
_atom_site_fract_y
_atom_site_fract_z
Sb1 Sb 0.4040 0.4040 0.1920
Sb2 Sb 0.5960 0.5960 0.8080
K1 K 0.7500 0.2500 0.5000
K2 K 0.2500 0.7500 0.5000
Rb1 Rb 0.0000 0.0000 0.0000
# Electronic total energy: -2.596 eV/atom
# Formation energy from raw total energies: -0.31 eV/atom
# Space-group type: I4/mmm
# ΔE to the lowest computed polymorph: 39 meV/atom

---

(2)
# PmSmDyN3 PBE optimized geometry
data_PmSmDyN3
_symmetry_space_group_name_H-M 'P 1'
_symmetry_Int_Tables_number 1
_symmetry_space_group_name_Hall 'P 1'
_cell_length_a 3.5234
_cell_length_b 6.1047
_cell_length_c 9.1834
_cell_angle_alpha 101.49
_cell_angle_beta 90.00
_cell_angle_gamma 90.00
loop_
_atom_site_label
_atom_site_type_symbol
_atom_site_fract_x
_atom_site_fract_y
_atom_site_fract_z
Pm1 Pm 0.7500 0.6550 0.6961
Pm2 Pm 0.2500 0.3450 0.3039
Sm1 Sm 0.2500 0.7692 0.0467
Sm2 Sm 0.7500 0.2308 0.9533
Dy1 Dy 0.2500 0.1516 0.6376
Dy2 Dy 0.7500 0.8484 0.3624
N1 N 0.2500 0.7532 0.4939
N2 N 0.7500 0.0374 0.1585
N3 N 0.7500 0.5377 0.1745
N4 N 0.7500 0.2468 0.5061
N5 N 0.2500 0.4623 0.8255
N6 N 0.2500 0.9626 0.8415
# Electronic total energy: -7.870 eV/atom
# Formation energy from raw total energies: -1.36 eV/atom
# Space-group type: P2_1/m

---

(3)
# AuCSe2N PBE optimized geometry
data_AuCSe2N
_symmetry_space_group_name_H-M 'P 1'
_symmetry_Int_Tables_number 1
_symmetry_space_group_name_Hall 'P 1'
_cell_length_a 5.2869
_cell_length_b 5.2869
_cell_length_c 3.7401
_cell_angle_alpha 90.00
_cell_angle_beta 90.00
_cell_angle_gamma 90.00
loop_
_atom_site_label
_atom_site_type_symbol
_atom_site_fract_x
_atom_site_fract_y
_atom_site_fract_z
C1 C 0.5000 0.5000 0.5000
Au1 Au 0.0000 0.0000 0.0000
Se1 Se 0.0000 0.5000 0.0000
Se2 Se 0.5000 0.0000 0.0000
N1 N 0.0000 0.0000 0.5000
# Electronic total energy: -3.176 eV/atom
# Formation energy from raw total energies: 2.38 eV/atom
# Space-group type: P4/mmm
# ΔE to the lowest computed polymorph: 1649 meV/atom

---

(4)
# HoInSi2Ir5 PBE optimized geometry
data_HoInSi2Ir5
_symmetry_space_group_name_H-M 'P 1'
_symmetry_Int_Tables_number 1
_symmetry_space_group_name_Hall 'P 1'
_cell_length_a 3.9172
_cell_length_b 3.9172
_cell_length_c 11.2939
_cell_angle_alpha 90.00
_cell_angle_beta 90.00
_cell_angle_gamma 90.00
loop_
_atom_site_label
_atom_site_type_symbol
_atom_site_fract_x
_atom_site_fract_y
_atom_site_fract_z
Ho1 Ho 0.0000 0.0000 0.5000
In1 In 0.0000 0.0000 0.0000
Si1 Si 0.5000 0.5000 0.2931
Si2 Si 0.5000 0.5000 0.7069
Ir1 Ir 0.0000 0.5000 0.1756
Ir2 Ir 0.5000 0.0000 0.1756
Ir3 Ir 0.0000 0.5000 0.8244
Ir4 Ir 0.5000 0.0000 0.8244
Ir5 Ir 0.5000 0.5000 0.5000
# Electronic total energy: -7.205 eV/atom
# Formation energy from raw total energies: -0.26 eV/atom
# Space-group type: P4/mmm

---

(5)
# RbBaCaTl PBE optimized geometry
data_RbBaCaTl
_symmetry_space_group_name_H-M 'P 1'
_symmetry_Int_Tables_number 1
_symmetry_space_group_name_Hall 'P 1'
_cell_length_a 6.1502
_cell_length_b 6.1502
_cell_length_c 6.1502
_cell_angle_alpha 60.00
_cell_angle_beta 60.00
_cell_angle_gamma 60.00
loop_
_atom_site_label
_atom_site_type_symbol
_atom_site_fract_x
_atom_site_fract_y
_atom_site_fract_z
Tl1 Tl 0.2500 0.2500 0.2500
Ca1 Ca 0.0000 0.0000 0.0000
Ba1 Ba 0.5000 0.5000 0.5000
Rb1 Rb 0.7500 0.7500 0.7500
# Electronic total energy: -1.865 eV/atom
# ΔE_f: -0.0504 eV/atom
# Space-group type: F-43m

---

(6)
# BaBeP2 PBE optimized geometry
data_BaBeP2
_symmetry_space_group_name_H-M 'P 1'
_symmetry_Int_Tables_number 1
_symmetry_space_group_name_Hall 'P 1'
_cell_length_a 5.5088
_cell_length_b 5.5088
_cell_length_c 5.5088
_cell_angle_alpha 133.50
_cell_angle_beta 133.50
_cell_angle_gamma 67.87
loop_
_atom_site_label
_atom_site_type_symbol
_atom_site_fract_x
_atom_site_fract_y
_atom_site_fract_z
P1 P 0.0000 0.0000 0.0000
P2 P 0.2500 0.7500 0.5000
Ba1 Ba 0.5000 0.5000 0.0000
Be1 Be 0.7500 0.2500 0.5000
# Electronic total energy: -3.633 eV/atom
# ΔE_f: 0.4844 eV/atom
# Space-group type: I-4m2
# ΔE to the lowest computed polymorph: 1077 meV/atom